[1]
11
Lattice="4.409 -6.701 0.000 4.409 6.701 0.000 -1.394 0.000 5.215" Properties=species:S:1:pos:R:3 comment="Y8Cu2Sb GGA-PBE optimized geometry" sg="No. 12" energy_ev_per_atom=-5.99 crystal_system=monoclinic density_g_cm3=5.17 raw_formation_energy_ev_per_atom=-0.174 pbc="T T T"
Y 0.963 1.691 3.100
Y 4.409 3.437 0.000
Y 0.963 -1.691 3.100
Y 3.174 0.000 1.024
Y 4.250 0.000 4.190
Y 6.461 1.691 2.115
Y 4.409 -3.437 0.000
Y 6.461 -1.691 2.115
Cu 3.712 2.560 2.607
Cu 3.712 -2.560 2.607
Sb 0.000 0.000 0.000



[2]
14
Lattice="5.707 0.000 0.000 0.000 5.707 0.000 0.000 0.000 18.539" Properties=species:S:1:pos:R:3 comment="Cs2AgI2Br2 GGA-PBE optimized geometry" sg="No. 139" energy_ev_per_atom=-2.61 crystal_system=tetragonal density_g_cm3=4.33 raw_formation_energy_ev_per_atom=-1.042 pbc="T T T"
Cs 0.000 0.000 2.401
Cs 0.000 0.000 16.137
Cs 2.853 2.853 6.868
Cs 2.853 2.853 11.671
Ag 0.000 0.000 9.269
Ag 2.853 2.853 0.000
I 0.000 0.000 6.422
I 0.000 0.000 12.116
I 2.853 2.853 2.847
I 2.853 2.853 15.692
Br 0.000 2.853 0.000
Br 0.000 2.853 9.269
Br 2.853 0.000 0.000
Br 2.853 0.000 9.269



[3]
4
Lattice="2.809 0.000 0.000 0.000 4.353 0.000 -1.229 0.000 5.390" Properties=species:S:1:pos:R:3 comment="BeTlW2 GGA-PBE optimized geometry" de_polymorph_ev_per_atom=0.2798 sg="No. 10" energy_ev_per_atom=-7.20 crystal_system=monoclinic density_g_cm3=14.64 ef_kcal_per_mol_atoms=18.5 pbc="T T T"
Be 0.000 0.000 0.000
Tl 0.790 0.000 2.695
W -0.245 2.177 4.213
W 1.825 2.177 1.177